# PBE-GGA Ti3BiPb, optimized geometry
# Energy relative to the lowest polymorph listed for this composition ... 235 meV per atom
# Total magnetization ... 10.0 Bohr magnetons per cell
# Mass density ... 7.369 g/cm³
# Density of states at the Fermi level ... 1.2109 states/eV/atom
data_Ti3BiPb
_chemical_formula_sum 'Ti12 Bi4 Pb4'
_symmetry_space_group_name_H-M 'I m m a'
_symmetry_Int_Tables_number 74
_symmetry_space_group_name_Hall '-I 2b 2'
_cell_length_a 5.8107
_cell_length_b 11.4754
_cell_length_c 7.5666
_cell_angle_alpha 90.00
_cell_angle_beta 90.00
_cell_angle_gamma 90.00
loop_
_atom_site_label
_atom_site_fract_x
_atom_site_fract_y
_atom_site_fract_z
Ti1 0.0000 0.2500 0.0618
Ti2 0.2500 0.1402 0.7500
Bi1 0.0000 0.0000 0.0000
Pb1 0.0000 0.2500 0.4424



# PBE-GGA Be9NbPd2, optimized geometry
# E ... -4.802 eV per atom
# Total magnetization ... 0.0 Bohr magnetons per cell
# Mass density ... 5.457 g/cm³
# Density of states at the Fermi level ... 0.5869 states/eV/atom
data_Be9NbPd2
_chemical_formula_sum 'Be18 Nb2 Pd4'
_symmetry_space_group_name_H-M 'P 63/m m c'
_symmetry_Int_Tables_number 194
_symmetry_space_group_name_Hall '-P 6c 2c'
_cell_length_a 4.4201
_cell_length_b 4.4201
_cell_length_c 13.9144
_cell_angle_alpha 90.00
_cell_angle_beta 90.00
_cell_angle_gamma 120.00
loop_
_atom_site_label
_atom_site_fract_x
_atom_site_fract_y
_atom_site_fract_z
Be1 0.0000 0.0000 0.0000
Be2 0.0000 0.0000 0.2500
Be3 0.1678 0.3355 0.1257
Be4 0.3333 0.6667 0.2500
Nb1 0.3333 0.6667 0.7500
Pd1 0.3333 0.6667 0.5414



# PBE-GGA SmPuPtAu, optimized geometry
# Energy relative to the lowest polymorph listed for this composition ... 62 meV per atom
# Total magnetization ... 23.0 Bohr magnetons per cell
# Mass density ... 14.019 g/cm³
# Density of states at the Fermi level ... 3.1522 states/eV/atom
data_SmPuPtAu
_chemical_formula_sum 'Sm4 Pu4 Pt4 Au4'
_symmetry_space_group_name_H-M 'F -4 3 m'
_symmetry_Int_Tables_number 216
_symmetry_space_group_name_Hall 'F -4 2 3'
_cell_length_a 7.1958
_cell_length_b 7.1958
_cell_length_c 7.1958
_cell_angle_alpha 90.00
_cell_angle_beta 90.00
_cell_angle_gamma 90.00
loop_
_atom_site_label
_atom_site_fract_x
_atom_site_fract_y
_atom_site_fract_z
Sm1 0.0000 0.0000 0.0000
Pu1 0.0000 0.0000 0.5000
Pt1 0.2500 0.2500 0.2500
Au1 0.2500 0.2500 0.7500



# PBE-GGA TiTe4Pd2, optimized geometry
# Energy relative to the lowest polymorph listed for this composition ... 285 meV per atom
# Total magnetization ... 0.0 Bohr magnetons per cell
# Mass density ... 6.752 g/cm³
# Density of states at the Fermi level ... 1.1889 states/eV/atom
# ΔE_f (raw) ... -20.4 meV per atom
data_TiTe4Pd2
_chemical_formula_sum 'Ti2 Te8 Pd4'
_symmetry_space_group_name_H-M 'I 4/m m m'
_symmetry_Int_Tables_number 139
_symmetry_space_group_name_Hall '-I 4 2'
_cell_length_a 5.3655
_cell_length_b 5.3655
_cell_length_c 13.1757
_cell_angle_alpha 90.00
_cell_angle_beta 90.00
_cell_angle_gamma 90.00
loop_
_atom_site_label
_atom_site_fract_x
_atom_site_fract_y
_atom_site_fract_z
Ti1 0.0000 0.0000 0.0000
Te1 0.0000 0.0000 0.2049
Te2 0.0000 0.5000 0.0000
Pd1 0.0000 0.0000 0.4011